This record from Alexandria describes Y2BeMo at its PBEsol-relaxed geometry. The functional is meta-GGA SCAN.

Summary:
E: -23.347 eV per atom
DOS at the Fermi energy: 1.1000 states/eV per atom
magnetic moment: 0.00 μB per formula unit
ΔE_f: 0.384 eV/atom

Unit cell a=3.488 b=3.488 c=6.573 alpha=90.00 beta=90.00 gamma=90.00
Space group P4/mmm (No. 123)
Asymmetric unit:
Y 0.000 0.000 0.247 [2 per cell]
Be 0.500 0.500 0.000 [1 per cell]
Mo 0.500 0.500 0.500 [1 per cell]

=====

This record from Alexandria describes Y3BeMo at its PBEsol-relaxed geometry. The functional is meta-GGA SCAN.

Summary:
E: -23.767 eV per atom
DOS at the Fermi energy: 1.1150 states/eV per atom
magnetic moment: 3.00 μB per formula unit
ΔE_f: 0.786 eV/atom

Unit cell a=5.028 b=5.028 c=5.028 alpha=90.00 beta=90.00 gamma=90.00
Space group Pm-3m (No. 221)
Asymmetric unit:
Y 0.000 0.000 0.500 [3 per cell]
Be 0.000 0.000 0.000 [1 per cell]
Mo 0.500 0.500 0.500 [1 per cell]

=====

This record from Alexandria describes Be3ZnMo at its PBEsol-relaxed geometry. The functional is meta-GGA SCAN.

Summary:
E: -10.887 eV per atom
DOS at the Fermi energy: 0.5040 states/eV per atom
magnetic moment: 0.00 μB per formula unit
ΔE_f: 1.405 eV/atom

Unit cell a=4.249 b=4.249 c=4.249 alpha=90.00 beta=90.00 gamma=90.00
Space group Pm-3m (No. 221)
Asymmetric unit:
Be 0.000 0.000 0.500 [3 per cell]
Zn 0.500 0.500 0.500 [1 per cell]
Mo 0.000 0.000 0.000 [1 per cell]

=====

This record from Alexandria describes Be2ZnMo at its PBEsol-relaxed geometry. The functional is meta-GGA SCAN.

Summary:
E: -14.047 eV per atom
DOS at the Fermi energy: 0.3116 states/eV per atom
magnetic moment: 0.00 μB per formula unit
ΔE_f: 0.230 eV/atom

Unit cell a=2.674 b=4.351 c=8.151 alpha=90.00 beta=90.00 gamma=90.00
Space group Immm (No. 71)
Asymmetric unit:
Be 0.000 0.000 0.238 [4 per cell]
Zn 0.000 0.500 0.500 [2 per cell]
Mo 0.000 0.500 0.000 [2 per cell]

=====

This record from Alexandria describes BeZn4Mo at its PBEsol-relaxed geometry. The functional is meta-GGA SCAN.

Summary:
E: -15.218 eV per atom
DOS at the Fermi energy: 0.3983 states/eV per atom
magnetic moment: 2.72 μB per formula unit
ΔE_f: 0.332 eV/atom

Unit cell a=6.866 b=6.866 c=6.866 alpha=90.00 beta=90.00 gamma=90.00
Space group F-43m (No. 216)
Asymmetric unit:
Be 0.000 0.000 0.000 [4 per cell]
Zn 0.124 0.124 0.376 [16 per cell]
Mo 0.250 0.250 0.750 [4 per cell]

=====

This record from Alexandria describes Zr2BeMo at its PBEsol-relaxed geometry. The functional is meta-GGA SCAN.

Summary:
E: -24.993 eV per atom
DOS at the Fermi energy: 0.4646 states/eV per atom
magnetic moment: 0.00 μB per formula unit
ΔE_f: 0.166 eV/atom

Unit cell a=2.775 b=2.775 c=8.669 alpha=90.00 beta=90.00 gamma=90.00
Space group P4mm (No. 99)
Asymmetric unit:
Zr 0.000 0.000 0.000 [1 per cell]
Zr 0.500 0.500 0.325 [1 per cell]
Be 0.000 0.000 0.541 [1 per cell]
Mo 0.500 0.500 0.725 [1 per cell]

=====

This record from Alexandria describes ZrBe4Mo at its PBEsol-relaxed geometry. The functional is meta-GGA SCAN.

Summary:
E: -13.990 eV per atom
DOS at the Fermi energy: 0.7188 states/eV per atom
magnetic moment: 0.38 μB per formula unit
ΔE_f: -0.157 eV/atom

Unit cell a=6.512 b=6.512 c=6.512 alpha=90.00 beta=90.00 gamma=90.00
Space group F-43m (No. 216)
Asymmetric unit:
Zr 0.000 0.000 0.000 [4 per cell]
Be 0.124 0.124 0.376 [16 per cell]
Mo 0.250 0.250 0.750 [4 per cell]

=====

This record from Alexandria describes ZrBeMo2 at its PBEsol-relaxed geometry. The functional is meta-GGA SCAN.

Summary:
E: -26.057 eV per atom
DOS at the Fermi energy: 0.5823 states/eV per atom
magnetic moment: 0.00 μB per formula unit
ΔE_f: 0.149 eV/atom

Unit cell a=8.456 b=3.368 c=4.622 alpha=90.00 beta=110.60 gamma=90.00
Space group Cm (No. 8)
Asymmetric unit:
Zr 0.000 0.000 0.000 [2 per cell]
Be 0.253 0.500 0.292 [2 per cell]
Mo 0.228 0.000 0.717 [2 per cell]
Mo 0.483 0.000 0.464 [2 per cell]

=====

This record from Alexandria describes ZrBeMo2 at its PBEsol-relaxed geometry. The functional is meta-GGA SCAN.

Summary:
E: -25.974 eV per atom
DOS at the Fermi energy: 0.9706 states/eV per atom
magnetic moment: 0.00 μB per formula unit
ΔE_f: 0.231 eV/atom

Unit cell a=3.746 b=3.746 c=8.861 alpha=90.00 beta=90.00 gamma=90.00
Space group I4/mmm (No. 139)
Asymmetric unit:
Zr 0.000 0.000 0.000 [2 per cell]
Be 0.000 0.000 0.500 [2 per cell]
Mo 0.000 0.500 0.250 [4 per cell]

=====

This record from Alexandria describes Zr2BeMo at its PBEsol-relaxed geometry. The functional is meta-GGA SCAN.

Summary:
E: -25.181 eV per atom
DOS at the Fermi energy: 0.8636 states/eV per atom
magnetic moment: 0.00 μB per formula unit
ΔE_f: -0.022 eV/atom

Unit cell a=4.490 b=4.490 c=3.365 alpha=90.00 beta=90.00 gamma=90.00
Space group P4/mmm (No. 123)
Asymmetric unit:
Zr 0.000 0.500 0.000 [2 per cell]
Be 0.000 0.000 0.500 [1 per cell]
Mo 0.500 0.500 0.500 [1 per cell]

=====

This record from Alexandria describes ZrBe2Mo at its PBEsol-relaxed geometry. The functional is meta-GGA SCAN.

Summary:
energy above the lowest structure with this stoichiometry: 0.0 meV per atom
E: -18.643 eV per atom
DOS at the Fermi energy: 0.8110 states/eV per atom
magnetic moment: 0.00 μB per formula unit
ΔE_f: -0.070 eV/atom

Unit cell a=3.434 b=3.350 c=9.261 alpha=90.00 beta=90.00 gamma=90.00
Space group Amm2 (No. 38)
Asymmetric unit:
Zr 0.000 0.000 0.000 [2 per cell]
Be 0.000 0.000 0.729 [2 per cell]
Be 0.500 0.000 0.604 [2 per cell]
Mo 0.500 0.000 0.302 [2 per cell]

=====

This record from Alexandria describes ZrBe2Mo at its PBEsol-relaxed geometry. The functional is meta-GGA SCAN.

Summary:
energy above the lowest structure with this stoichiometry: 484.8 meV per atom
E: -18.158 eV per atom
DOS at the Fermi energy: 0.5159 states/eV per atom
magnetic moment: 0.00 μB per formula unit
ΔE_f: 0.415 eV/atom

Unit cell a=2.7379 b=2.7379 c=26.3802 alpha=90.00 beta=90.00 gamma=120.00
Space group R-3m (No. 166, hexagonal axes)
Asymmetric unit:
Zr 0.0000 0.0000 0.0000 [3 per cell]
Be 0.0000 0.0000 0.2434 [6 per cell]
Mo 0.0000 0.0000 0.5000 [3 per cell]

=====

This record from Alexandria describes ZrBeMo2 at its PBEsol-relaxed geometry. The functional is meta-GGA SCAN.

Summary:
E: -26.037 eV per atom
DOS at the Fermi energy: 0.9045 states/eV per atom
magnetic moment: 0.00 μB per formula unit
ΔE_f: 0.168 eV/atom

Unit cell a=3.411 b=4.236 c=8.255 alpha=90.00 beta=90.00 gamma=90.00
Space group Cmmm (No. 65)
Asymmetric unit:
Zr 0.000 0.000 0.000 [2 per cell]
Be 0.000 0.000 0.500 [2 per cell]
Mo 0.000 0.500 0.295 [4 per cell]

=====

This record from Alexandria describes NaBeN3 at its PBEsol-relaxed geometry. The functional is meta-GGA SCAN.

Summary:
formation energy (no corrections): 1.304 eV/atom
E: -5.984 eV per atom
DOS at the Fermi energy: 0.5054 states/eV per atom
magnetic moment: 0.00 μB per formula unit

Unit cell a=3.532 b=3.532 c=3.532 alpha=90.00 beta=90.00 gamma=90.00
Space group Pm-3m (No. 221)
Asymmetric unit:
Na 0.000 0.000 0.000 [1 per cell]
Be 0.500 0.500 0.500 [1 per cell]
N 0.000 0.500 0.500 [3 per cell]

=====

This record from Alexandria describes NaBeN3 at its PBEsol-relaxed geometry. The functional is meta-GGA SCAN.

Summary:
formation energy (no corrections): 2.808 eV/atom
E: -4.480 eV per atom
DOS at the Fermi energy: 0.3316 states/eV per atom
magnetic moment: 6.00 μB per formula unit

Unit cell a=4.158 b=4.158 c=4.158 alpha=90.00 beta=90.00 gamma=90.00
Space group Pm-3m (No. 221)
Asymmetric unit:
Na 0.000 0.000 0.000 [1 per cell]
Be 0.500 0.500 0.500 [1 per cell]
N 0.000 0.000 0.500 [3 per cell]

=====

This record from Alexandria describes NaBeN2O at its PBEsol-relaxed geometry. The functional is meta-GGA SCAN.

Summary:
formation energy (no corrections): 0.470 eV/atom
E: -6.207 eV per atom
DOS at the Fermi energy: 0.3294 states/eV per atom
magnetic moment: 3.46 μB per formula unit

Unit cell a=3.443 b=3.443 c=3.764 alpha=90.00 beta=90.00 gamma=90.00
Space group P4/mmm (No. 123)
Asymmetric unit:
Na 0.000 0.000 0.000 [1 per cell]
Be 0.500 0.500 0.500 [1 per cell]
N 0.000 0.500 0.500 [2 per cell]
O 0.500 0.500 0.000 [1 per cell]

=====

This record from Alexandria describes NaBeTe2N at its PBEsol-relaxed geometry. The functional is meta-GGA SCAN.

Summary:
formation energy (no corrections): 0.920 eV/atom
E: -17.552 eV per atom
DOS at the Fermi energy: 0.4309 states/eV per atom
magnetic moment: 2.71 μB per formula unit

Unit cell a=4.826 b=4.826 c=5.522 alpha=90.00 beta=90.00 gamma=90.00
Space group P4/mmm (No. 123)
Asymmetric unit:
Na 0.000 0.000 0.000 [1 per cell]
Be 0.000 0.000 0.500 [1 per cell]
Te 0.000 0.500 0.500 [2 per cell]
N 0.500 0.500 0.000 [1 per cell]

=====

This record from Alexandria describes BeNbN2O at its PBEsol-relaxed geometry. The functional is meta-GGA SCAN.

Summary:
formation energy (no corrections): 0.151 eV/atom
E: -12.308 eV per atom
DOS at the Fermi energy: 0.6361 states/eV per atom
magnetic moment: 0.02 μB per formula unit

Unit cell a=4.045 b=4.045 c=3.891 alpha=90.00 beta=90.00 gamma=90.00
Space group P4/mmm (No. 123)
Asymmetric unit:
Be 0.000 0.000 0.000 [1 per cell]
Nb 0.500 0.500 0.500 [1 per cell]
N 0.000 0.500 0.500 [2 per cell]
O 0.500 0.500 0.000 [1 per cell]

=====

This record from Alexandria describes ScBeNb2N at its PBEsol-relaxed geometry. The functional is meta-GGA SCAN.

Summary:
formation energy (no corrections): 1.801 eV/atom
E: -17.027 eV per atom
DOS at the Fermi energy: 1.2746 states/eV per atom
magnetic moment: 0.00 μB per formula unit

Unit cell a=4.787 b=4.787 c=3.908 alpha=90.00 beta=90.00 gamma=90.00
Space group P4/mmm (No. 123)
Asymmetric unit:
Sc 0.000 0.000 0.000 [1 per cell]
Be 0.500 0.500 0.500 [1 per cell]
Nb 0.000 0.500 0.000 [2 per cell]
N 0.000 0.000 0.500 [1 per cell]

=====

This record from Alexandria describes Sc2BeNbN at its PBEsol-relaxed geometry. The functional is meta-GGA SCAN.

Summary:
formation energy (no corrections): 1.042 eV/atom
E: -14.008 eV per atom
DOS at the Fermi energy: 0.4760 states/eV per atom
magnetic moment: 1.50 μB per formula unit

Unit cell a=4.549 b=4.549 c=4.246 alpha=90.00 beta=90.00 gamma=90.00
Space group P4/mmm (No. 123)
Asymmetric unit:
Sc 0.000 0.500 0.000 [2 per cell]
Be 0.000 0.000 0.000 [1 per cell]
Nb 0.000 0.000 0.500 [1 per cell]
N 0.500 0.500 0.500 [1 per cell]